# GGA-PBE CdRuBr6, optimized geometry
# Space-group type: No. 12
data_CdRuBr6
_cell_length_a 6.906
_cell_length_b 12.090
_cell_length_c 6.871
_cell_angle_alpha 90.00
_cell_angle_beta 111.77
_cell_angle_gamma 90.00
_space_group_name_H-M_alt 'P 1'
_space_group_IT_number 1
_space_group_name_Hall 'P 1'
loop_
_atom_site_label
_atom_site_type_symbol
_atom_site_fract_x
_atom_site_fract_y
_atom_site_fract_z
_atom_site_occupancy
Cd1 Cd 0.000 0.000 0.000 1
Cd2 Cd 0.500 0.500 0.000 1
Ru1 Ru 0.000 0.500 0.500 1
Ru2 Ru 0.500 0.000 0.500 1
Br1 Br 0.216 0.500 0.288 1
Br2 Br 0.233 0.353 0.736 1
Br3 Br 0.233 0.647 0.736 1
Br4 Br 0.267 0.147 0.264 1
Br5 Br 0.267 0.853 0.264 1
Br6 Br 0.284 0.000 0.712 1
Br7 Br 0.716 0.000 0.288 1
Br8 Br 0.733 0.147 0.736 1
Br9 Br 0.733 0.853 0.736 1
Br10 Br 0.767 0.353 0.264 1
Br11 Br 0.767 0.647 0.264 1
Br12 Br 0.784 0.500 0.712 1

***

# GGA-PBE Y2CdRuBr, optimized geometry
# Space-group type: No. 123
data_Y2CdRuBr
_cell_length_a 5.293
_cell_length_b 5.293
_cell_length_c 5.129
_cell_angle_alpha 90.00
_cell_angle_beta 90.00
_cell_angle_gamma 90.00
_space_group_name_H-M_alt 'P 1'
_space_group_IT_number 1
_space_group_name_Hall 'P 1'
loop_
_atom_site_label
_atom_site_type_symbol
_atom_site_fract_x
_atom_site_fract_y
_atom_site_fract_z
_atom_site_occupancy
Y1 Y 0.000 0.500 0.000 1
Y2 Y 0.500 0.000 0.000 1
Cd1 Cd 0.000 0.000 0.500 1
Ru1 Ru 0.500 0.500 0.000 1
Br1 Br 0.500 0.500 0.500 1

***

| no. | energy (eV/atom) | ΔE_f (raw) (kcal/mol of atoms) | DOS at the Fermi energy (states/eV/f.u.) |
| --- | --- | --- | --- |
| 1 | -2.9403 | -9.50 | 1.20 |
| 2 | -4.9723 | -0.32 | 4.19 |